CsLiEr2I8 after structural relaxation, computed with PBE-GGA.

Unit cell a=7.8358 b=7.8358 c=11.8314 alpha=70.66 beta=70.66 gamma=60.00
Atoms (fractional coordinates):
Cs1 0.5000 0.5000 0.5000
Li1 0.0000 0.0000 0.0000
Er1 0.2579 0.2579 0.2262
Er2 0.7421 0.7421 0.7738
I1 0.1715 0.1715 0.4856
I2 0.6368 0.2743 0.1640
I3 0.8285 0.8285 0.5144
I4 0.9249 0.6368 0.1640
I5 0.0751 0.3632 0.8360
I6 0.2743 0.9249 0.1640
I7 0.7257 0.0751 0.8360
I8 0.3632 0.7257 0.8360

Values from the calculation:
- electronic total energy (eV/atom) = -3.300

Ce4SbH after structural relaxation, computed with PBE-GGA.

Unit cell a=5.9243 b=6.0291 c=9.7798 alpha=118.10 beta=107.64 gamma=89.98
Each line ends with the local moment (μB).
Atoms (fractional coordinates):
Ce1 0.6316 0.1112 0.8240  0.79
Ce2 0.8076 0.3887 0.1759  0.79
Ce3 0.3684 0.8888 0.1760  0.79
Ce4 0.1924 0.6113 0.8241  0.79
Ce5 0.9250 0.9151 0.5882  0.35
Ce6 0.3367 0.5850 0.4118  0.35
Ce7 0.0750 0.0849 0.4118  0.35
Ce8 0.6633 0.4150 0.5882  0.35
Sb1 0.7738 0.7499 0.0000  -0.02
Sb2 0.2262 0.2501 0.0000  -0.02
H1 0.5000 0.0000 0.5000  0.00
H2 0.0000 0.5000 0.5000  0.00

Values from the calculation:
- electronic total energy (eV/atom) = -5.531

LaCeTlPb after structural relaxation, computed with PBE-GGA.

Unit cell a=4.6003 b=5.1294 c=5.1594 alpha=90.00 beta=90.00 gamma=90.00
Each line ends with the local moment (μB).
Atoms (fractional coordinates):
La1 0.5000 0.5000 0.0000  0.17
Ce1 0.5000 0.0000 0.5000  0.98
Tl1 0.0000 0.0000 0.0000  0.01
Pb1 0.0000 0.5000 0.5000  -0.02

Values from the calculation:
- relative energy among the computed polymorphs (kcal/mol of atoms) = 0.00
- ΔH_f (0 K) (eV per atom) = -0.4128

ZrCdIn2 after structural relaxation, computed with PBE-GGA.

Unit cell a=3.5379 b=3.5379 c=7.3677 alpha=90.00 beta=90.00 gamma=90.00
Atoms (fractional coordinates):
Cd1 0.5000 0.5000 0.0000
Zr1 0.5000 0.5000 0.5000
In1 0.0000 0.0000 0.7547
In2 0.0000 0.0000 0.2453

Values from the calculation:
- ΔH_f (0 K) (eV per atom) = -0.0368

Tb8Al2Te after structural relaxation, computed with PBE-GGA.

Unit cell a=4.9491 b=6.8562 c=10.0695 alpha=102.91 beta=104.23 gamma=90.00
Atoms (fractional coordinates):
Tb1 0.4015 0.5303 0.8029
Tb2 0.6597 0.9805 0.3194
Tb3 0.7845 0.6869 0.5690
Tb4 0.9693 0.2401 0.9386
Tb5 0.2155 0.3131 0.4310
Tb6 0.3403 0.0195 0.6806
Tb7 0.5985 0.4697 0.1971
Tb8 0.0307 0.7599 0.0614
Al1 0.8132 0.2513 0.6263
Al2 0.1868 0.7487 0.3737
Te1 0.5000 0.0000 0.0000

Values from the calculation:
- electronic total energy (eV/atom) = -4.648

LaHPd after structural relaxation, computed with PBE-GGA.

Unit cell a=3.8226 b=3.8226 c=5.0148 alpha=112.40 beta=112.40 gamma=90.00
Atoms (fractional coordinates):
H1 0.0242 0.0242 0.0485
Pd1 0.2370 0.2370 0.4741
La1 0.5887 0.5887 0.1775

Values from the calculation:
- relative energy among the computed polymorphs (kcal/mol of atoms) = 6.70

TaRuAu2 after structural relaxation, computed with PBE-GGA.

Unit cell a=4.5736 b=4.5736 c=4.5736 alpha=60.00 beta=60.00 gamma=60.00
Atoms (fractional coordinates):
Au1 0.0000 0.0000 0.0000
Au2 0.7500 0.7500 0.7500
Ru1 0.5000 0.5000 0.5000
Ta1 0.2500 0.2500 0.2500

Values from the calculation:
- relative energy among the computed polymorphs (kcal/mol of atoms) = 4.98
- ΔH_f (0 K) (eV per atom) = 0.1390

Pm2ThSc8 after structural relaxation, computed with PBE-GGA.

Unit cell a=5.4625 b=8.4820 c=8.6829 alpha=60.76 beta=75.26 gamma=58.61
Atoms (fractional coordinates):
Pm1 0.0000 0.3060 0.3880
Pm2 0.0000 0.6940 0.6120
Th1 0.5000 0.0000 0.0000
Sc1 0.8231 0.0958 0.2256
Sc2 0.8231 0.3214 0.7744
Sc3 0.2937 0.4350 0.0000
Sc4 0.5000 0.7893 0.4214
Sc5 0.5000 0.2107 0.5786
Sc6 0.7063 0.5650 0.0000
Sc7 0.1769 0.6786 0.2256
Sc8 0.1769 0.9042 0.7744

Values from the calculation:
- ΔH_f (0 K) (eV per atom) = 0.1652

VGe2Br6 after structural relaxation, computed with PBE-GGA.

Unit cell a=3.9730 b=8.3874 c=9.1284 alpha=105.51 beta=102.57 gamma=90.00
Each line ends with the local moment (μB).
Atoms (fractional coordinates):
V1 0.5000 0.0000 0.0000  2.62
Ge1 0.8344 0.6704 0.6687  0.01
Ge2 0.1656 0.3296 0.3313  0.01
Br1 0.3461 0.9186 0.6922  -0.01
Br2 0.0036 0.2149 0.0072  -0.03
Br3 0.6634 0.5656 0.3268  0.00
Br4 0.9964 0.7851 0.9928  -0.03
Br5 0.6539 0.0814 0.3078  -0.01
Br6 0.3366 0.4344 0.6732  0.00

Values from the calculation:
- electronic total energy (eV/atom) = -3.790

Ac2SnPb2 after structural relaxation, computed with PBE-GGA.

Unit cell a=4.5232 b=4.7449 c=8.5365 alpha=106.14 beta=90.00 gamma=90.00
Atoms (fractional coordinates):
Ac1 0.5000 0.6212 0.2425
Ac2 0.5000 0.3788 0.7575
Sn1 0.0000 0.0000 0.0000
Pb1 0.0000 0.1902 0.3803
Pb2 0.0000 0.8098 0.6197

Values from the calculation:
- relative energy among the computed polymorphs (kcal/mol of atoms) = 1.97
- ΔH_f (0 K) (eV per atom) = -0.4450

Y3Er4Ni2 after structural relaxation, computed with PBE-GGA.

Unit cell a=3.6103 b=8.1953 c=9.5169 alpha=61.69 beta=79.07 gamma=77.28
Atoms (fractional coordinates):
Y1 0.6402 0.1029 0.6167
Y2 0.0000 0.0000 0.0000
Y3 0.3598 0.8971 0.3833
Er1 0.3161 0.3138 0.0540
Er2 0.9065 0.4995 0.6875
Er3 0.0935 0.5005 0.3125
Er4 0.6839 0.6862 0.9460
Ni1 0.7383 0.2344 0.2890
Ni2 0.2617 0.7656 0.7110

Values from the calculation:
- ΔH_f (0 K) (eV per atom) = -0.1576

Tb2PmGaN after structural relaxation, computed with PBE-GGA.

Unit cell a=4.9206 b=4.7877 c=4.7877 alpha=90.00 beta=90.00 gamma=90.00
Atoms (fractional coordinates):
Tb1 0.0000 0.0000 0.5000
Tb2 0.0000 0.5000 0.0000
Pm1 0.5000 0.0000 0.0000
Ga1 0.5000 0.5000 0.5000
N1 0.0000 0.0000 0.0000

Values from the calculation:
- electronic total energy (eV/atom) = -5.991

Record-wise calculated volume values, in Å³/cell: 581.3 289.4 121.7 92.2 322.3 61.7 67.6 299.7 285.5 176.0 240.6 112.8